NaSrPm2Hg4 after structural relaxation, computed with PBE-GGA.

Energy of formation from the pure elements = -0.4107 eV per atom

a b c (Å): 5.3692 5.3692 26.7356
angles (deg): 90.00 90.00 120.00
Space group R-3m (No. 166, hexagonal axes)
One atom of each set of equivalent atoms:
Na: 0.0000 0.0000 0.0000
Sr: 0.0000 0.0000 0.5000
Pm: 0.0000 0.0000 0.2546
Hg: 0.0000 0.0000 0.1200
Hg: 0.0000 0.0000 0.3740

***

YGa3Cl after structural relaxation, computed with PBE-GGA.

Formation energy from raw total energies = 0.508 eV per atom
Offset from the most stable computed form = 0.433 eV/atom

a b c (Å): 5.784 5.784 5.784
angles (deg): 90.00 90.00 90.00
Space group Pm-3m (No. 221)
One atom of each set of equivalent atoms:
Y: 0.000 0.000 0.000
Ga: 0.000 0.000 0.500
Cl: 0.500 0.500 0.500

***

CaSiAu4 after structural relaxation, computed with PBE-GGA.

Formation energy from raw total energies = -0.174 eV per atom
Offset from the most stable computed form = 0.199 eV/atom

a b c (Å): 7.891 7.891 7.891
angles (deg): 90.00 90.00 90.00
Space group F-43m (No. 216)
One atom of each set of equivalent atoms:
Ca: 0.000 0.000 0.000
Si: 0.250 0.250 0.750
Au: 0.125 0.125 0.375

***

LiOs4Cl after structural relaxation, computed with PBE-GGA.

Formation energy from raw total energies = 1.212 eV per atom

a b c (Å): 7.389 7.389 7.389
angles (deg): 90.00 90.00 90.00
Space group F-43m (No. 216)
One atom of each set of equivalent atoms:
Li: 0.000 0.000 0.000
Os: 0.125 0.125 0.625
Cl: 0.250 0.250 0.250

***

Na3TlAu after structural relaxation, computed with PBE-GGA.

Offset from the most stable computed form = 0.512 eV/atom
Energy of formation from the pure elements = 0.3464 eV per atom

a b c (Å): 5.759 5.759 5.759
angles (deg): 90.00 90.00 90.00
Space group Pm-3m (No. 221)
One atom of each set of equivalent atoms:
Na: 0.000 0.000 0.500
Tl: 0.000 0.000 0.000
Au: 0.500 0.500 0.500

***

Nd2NiGe3 after structural relaxation, computed with PBE-GGA.

Offset from the most stable computed form = 0.137 eV/atom
Energy of formation from the pure elements = -0.6394 eV per atom

a b c (Å): 4.2695 4.2695 8.2309
angles (deg): 90.00 90.00 120.00
Space group P-6m2 (No. 187)
One atom of each set of equivalent atoms:
Nd: 0.0000 0.0000 0.2347
Ni: 0.3333 0.6667 0.0000
Ge: 0.3333 0.6667 0.5000
Ge: 0.6667 0.3333 0.0000
Ge: 0.6667 0.3333 0.5000